Entry 1:
5
Lattice="4.356 0.000 0.000 0.000 4.170 0.000 0.000 0.000 4.356" Properties=species:S:1:pos:R:3 comment="PBE SnTeC2N, optimized geometry" dft_energy_ev_per_cell=-21.7 spacegroup=P4/mmm n_ef_per_ev_atom=0.661 total_magnetization_mub_per_cell=1.71 pbc="T T T"
C 0.000 0.000 2.178
C 2.178 0.000 0.000
Te 2.178 2.085 2.178
Sn 0.000 0.000 0.000
N 0.000 2.085 0.000



Entry 2:
5
Lattice="-2.895 -3.271 -3.016 -2.687 -1.114 3.787 -3.298 3.993 -1.166" Properties=species:S:1:pos:R:3 comment="PBE CuIrOsPb2, optimized geometry" dft_energy_ev_per_cell=-24.8 spacegroup=P4/mmm e_form_ev_per_atom=1.3586 n_ef_per_ev_atom=1.045 total_magnetization_mub_per_cell=0.42 pbc="T T T"
Pb -1.649 1.997 -0.583
Pb -1.448 -1.636 -1.508
Ir 0.000 0.000 0.000
Os -1.343 -0.557 1.893
Cu -4.440 -0.196 -0.197



Entry 3:
4
Lattice="-4.090 0.236 2.751 -4.247 -1.820 -1.732 -1.900 -4.114 1.953" Properties=species:S:1:pos:R:3 comment="PBE Pu2PaMn, optimized geometry" dft_energy_ev_per_cell=-46.7 spacegroup=Fm-3m e_form_ev_per_atom=0.1620 relative_energy_ev_per_fu=0.36 n_ef_per_ev_atom=2.124 total_magnetization_mub_per_cell=9.45 pbc="T T T"
Pa -5.119 -2.849 1.486
Mn 0.000 0.000 0.000
Pu -2.559 -1.424 0.743
Pu -7.678 -4.273 2.229



Question: Number 1 is which compound?
Answer: SnTeC2N